No. 1
Crystalline BC2 at its relaxed geometry. Source: the Alexandria database, functional GGA-PBE.

Cell lengths 2.517, 2.517, 12.011 Å; angles 90.00, 90.00, 90.00 degrees
Space group P-4m2 (No. 115)
Unique sites:
B: 0.000 0.000 0.000 x1
B: 0.000 0.000 0.326 x2
B: 0.500 0.500 0.500 x1
C: 0.000 0.500 0.088 x2
C: 0.000 0.500 0.411 x2
C: 0.000 0.500 0.764 x2
C: 0.500 0.500 0.162 x2

E_form   0.347 eV per atom
Distance to the lowest polymorph of the same formula   107 meV/atom

---

No. 2
Crystalline KSiAu3 at its relaxed geometry. Source: the Alexandria database, functional GGA-PBE.

Cell lengths 12.664, 10.616, 8.311 Å; angles 90.00, 91.49, 90.00 degrees
Space group C2/c (No. 15)
Unique sites:
K: 0.181 0.085 0.045 x8
Si: 0.000 0.251 0.750 x4
Si: 0.000 0.492 0.250 x4
Au: 0.049 0.372 0.991 x8
Au: 0.155 0.356 0.288 x8
Au: 0.158 0.234 0.593 x8

Formation energy (no corrections)   -0.16 eV per atom

---

No. 3
Crystalline Pm2PrDy3Er6 at its relaxed geometry. Source: the Alexandria database, functional GGA-PBE.

Cell lengths 6.169, 10.677, 11.734 Å; angles 90.00, 100.05, 90.00 degrees
Space group C2/m (No. 12)
Unique sites:
Pm: 0.000 0.167 0.000 x4
Pr: 0.000 0.500 0.000 x2
Dy: 0.000 0.000 0.500 x2
Dy: 0.000 0.333 0.500 x4
Er: 0.248 0.167 0.747 x8
Er: 0.249 0.500 0.747 x4

E_form   0.020 eV per atom

---

No. 4
Crystalline Cu4Ir5 at its relaxed geometry. Source: the Alexandria database, functional GGA-PBE.

Cell lengths 8.034, 8.034, 3.804 Å; angles 90.00, 90.00, 90.00 degrees
Space group I4/mmm (No. 139)
Unique sites:
Cu: 0.000 0.337 0.000 x8
Ir: 0.000 0.000 0.000 x2
Ir: 0.167 0.167 0.500 x8

E_form   0.177 eV per atom
Distance to the lowest polymorph of the same formula   0 meV/atom

---

No. 5
Crystalline TbNdErCd at its relaxed geometry. Source: the Alexandria database, functional GGA-PBE.

Cell lengths 3.627, 3.627, 9.025 Å; angles 90.00, 90.00, 90.00 degrees
Space group P4mm (No. 99)
Unique sites:
Tb: 0.000 0.000 0.000 x1
Nd: 0.500 0.500 0.281 x1
Er: 0.000 0.000 0.558 x1
Cd: 0.500 0.500 0.774 x1

E_form   -0.150 eV per atom
Distance to the lowest polymorph of the same formula   0 meV/atom

---

No. 6
Crystalline Nd6SiAs2Cl3 at its relaxed geometry. Source: the Alexandria database, functional GGA-PBE.

Cell lengths 18.458, 4.233, 8.481 Å; angles 90.00, 102.92, 90.00 degrees
Space group C2/m (No. 12)
Unique sites:
Nd: 0.004 0.000 0.233 x4
Nd: 0.159 0.500 0.093 x4
Nd: 0.172 0.500 0.568 x4
Si: 0.000 0.500 0.000 x2
As: 0.167 0.000 0.332 x4
Cl: 0.000 0.500 0.500 x2
Cl: 0.167 0.000 0.832 x4

Formation energy (no corrections)   -1.42 eV per atom

---

No. 7
Crystalline SrCaMgCl6 at its relaxed geometry. Source: the Alexandria database, functional GGA-PBE.

Cell lengths 6.8131, 6.8131, 12.5462 Å; angles 90.00, 90.00, 120.00 degrees
Space group P-31c (No. 163)
Unique sites:
Sr: 0.0000 0.0000 0.0000 x2
Ca: 0.3333 0.6667 0.2500 x2
Mg: 0.3333 0.6667 0.7500 x2
Cl: 0.0235 0.3665 0.6340 x12

Formation energy (no corrections)   -2.23 eV per atom

---

No. 8
Crystalline SrTbTl4 at its relaxed geometry. Source: the Alexandria database, functional GGA-PBE.

Cell lengths 5.077, 5.089, 8.238 Å; angles 89.48, 89.62, 60.70 degrees
Space group P-1 (No. 2)
Unique sites:
Sr: 0.000 0.000 0.000 x1
Tb: 0.000 0.000 0.500 x1
Tl: 0.332 0.333 0.216 x2
Tl: 0.333 0.333 0.658 x2

E_form   -0.261 eV per atom
Distance to the lowest polymorph of the same formula   0 meV/atom

---

Q: Which formula does entry 8 have?
A: SrTbTl4

---

Copy entry 2 word for word.
Crystalline KSiAu3 at its relaxed geometry. Source: the Alexandria database, functional GGA-PBE.

Cell lengths 12.664, 10.616, 8.311 Å; angles 90.00, 91.49, 90.00 degrees
Space group C2/c (No. 15)
Unique sites:
K: 0.181 0.085 0.045 x8
Si: 0.000 0.251 0.750 x4
Si: 0.000 0.492 0.250 x4
Au: 0.049 0.372 0.991 x8
Au: 0.155 0.356 0.288 x8
Au: 0.158 0.234 0.593 x8

Formation energy (no corrections)   -0.16 eV per atom

---

Q: Number 6 is which compound?
A: Nd6SiAs2Cl3